# 1
DFT (PBE) results for crystalline Dy2PdAu at its relaxed geometry.

POSCAR file:
```
Dy2PdAu
1.0
-3.620 -2.892 -0.518
2.950 -4.121 2.387
-2.456 1.934 6.373
Pd Dy Au
2 4 2
Cartesian
-0.270 -4.285 4.822
-3.882 0.012 6.079
2.194 -3.342 3.321
-1.380 0.902 4.609
-2.014 -2.383 6.403
-1.439 -2.438 2.688
1.088 -1.580 1.214
0.438 -1.420 4.868
```

Properties
Formation enthalpy at 0 K (eV/f.u.): -3.7
Total moment (μB/atom): 0.00



# 2
DFT (PBE) results for crystalline DyPd5Au2 at its relaxed geometry.

POSCAR file:
```
DyPd5Au2
1.0
5.724 0.000 0.000
0.000 11.428 0.000
0.000 0.000 4.158
Pd Dy Au
10 2 4
Cartesian
4.222 4.295 2.079
1.360 1.419 2.079
2.990 8.569 0.000
1.502 7.133 2.079
5.596 2.855 0.000
2.862 0.000 0.000
2.734 2.859 0.000
0.000 5.714 0.000
4.363 10.008 2.079
0.128 8.573 0.000
2.862 5.714 0.000
0.000 0.000 0.000
4.167 1.483 2.079
1.557 9.944 2.079
4.419 7.197 2.079
1.305 4.230 2.079
```

Properties
Formation enthalpy at 0 K (eV/f.u.): -4.0
Total moment (μB/atom): 0.00



# 3
DFT (PBE) results for crystalline DyPd2Au5 at its relaxed geometry.

POSCAR file:
```
DyPd2Au5
1.0
5.887 0.000 0.000
0.000 11.804 0.000
0.000 0.000 4.202
Au Pd Dy
10 4 2
Cartesian
2.941 8.840 0.000
0.003 2.938 0.000
5.884 8.866 0.000
4.449 4.391 2.101
0.000 5.902 0.000
2.944 0.000 0.000
4.382 10.293 2.101
1.505 1.511 2.101
1.438 7.413 2.101
2.947 2.964 0.000
1.484 10.343 2.101
4.403 1.461 2.101
4.427 7.363 2.101
1.460 4.441 2.101
2.944 5.902 0.000
0.000 0.000 0.000
```

Properties
Formation enthalpy at 0 K (eV/f.u.): -3.6
Total moment (μB/atom): 0.00